Entry 1:
# KZr2Bi2 PBE relaxed
data_KZr2Bi2
_cell_length_a 8.8126
_cell_length_b 8.8126
_cell_length_c 3.6558
_cell_angle_alpha 90.00
_cell_angle_beta 90.00
_cell_angle_gamma 90.00
_space_group_name_H-M_alt 'P 4/m b m'
_space_group_IT_number 127
_space_group_name_Hall '-P 4 2ab'
loop_
_atom_site_label
_atom_site_type_symbol
_atom_site_fract_x
_atom_site_fract_y
_atom_site_fract_z
_atom_site_occupancy
K1 K 0.0000 0.0000 0.0000 1
Zr1 Zr 0.1182 0.3818 0.0000 1
Bi1 Bi 0.1658 0.6658 0.5000 1
# Energy above the most stable polymorph in this dataset in meV per atom: 126
# E in eV per atom: -5.2702
# D(E_F) in states/eV/cell: 8.9
# Energy relative to the elements in eV/atom: -0.08

=====

Entry 2:
# InSiAs PBE relaxed
data_InSiAs
_cell_length_a 3.8155
_cell_length_b 11.8523
_cell_length_c 6.4457
_cell_angle_alpha 90.00
_cell_angle_beta 90.00
_cell_angle_gamma 90.00
_space_group_name_H-M_alt 'A m m 2'
_space_group_IT_number 38
loop_
_space_group_symop_operation_xyz
'x,y,z'
'-x,-y,z'
'-x,y,z'
'x,-y,z'
'x,y+1/2,z+1/2'
'-x,-y+1/2,z+1/2'
'-x,y+1/2,z+1/2'
'x,-y+1/2,z+1/2'
loop_
_atom_site_label
_atom_site_type_symbol
_atom_site_fract_x
_atom_site_fract_y
_atom_site_fract_z
_atom_site_occupancy
In1 In 0.0000 0.1753 0.0000 1
Si1 Si 0.0000 0.0000 0.2528 1
Si2 Si 0.5000 0.0000 0.4665 1
As1 As 0.5000 0.1684 0.6738 1
# Energy above the most stable polymorph in this dataset in meV per atom: 96
# E in eV per atom: -4.2395
# D(E_F) in states/eV/cell: 3.1
# Uncorrected formation energy in eV per formula unit: 0.1